! LaCoO3 | OQMD via LeMat-Bulk | GGA+U | optimized geometry; values from VASP
&SYSTEM
  ibrav = 0, nat = 10, ntyp = 3
/
ATOMIC_SPECIES
La 138.91 La.upf
Co 58.93 Co.upf
O 16.00 O.upf
CELL_PARAMETERS angstrom
2.734 1.579 4.346
-2.734 1.579 4.346
0.000 -3.157 4.346
ATOMIC_POSITIONS angstrom
La 0.000 0.000 3.251
La 0.000 0.000 9.789
Co 0.000 0.000 0.000
Co 0.000 0.000 6.520
O -0.322 -1.583 5.421
O -1.531 -0.513 7.619
O -1.210 1.070 5.421
O 1.210 -1.070 7.619
O 1.531 0.513 5.421
O 0.322 1.583 7.619
! Electronic total energy = -7.20 eV/atom
! Space-group type = No. 148